8
Lattice="6.445 0.000 0.000 0.000 6.445 0.000 3.223 3.223 7.150" Properties=species:S:1:pos:R:3 comment="RbScCl2 (PBE-GGA, relaxed)" vol_a3_per_cell=297.0 formation_energy_uncorrected_ev_per_fu=-4.75 magnetic_moment_mub_per_cell=3.3 relative_energy_mev_per_atom=142 sg="I-42d (122)" pbc="T T T"
Cl 8.056 7.291 5.363
Cl 4.069 1.611 1.788
Rb 6.445 3.223 3.575
Cl 2.377 4.834 1.788
Rb 0.000 0.000 0.000
Sc 3.223 3.223 0.000
Cl 4.834 5.599 5.363
Sc 3.223 6.445 3.575